{"formula": "Be4Tl2Os", "functional": "PBE-GGA", "state": "relaxed", "cell": [[-2.179, 2.179, 6.400], [2.179, -2.179, 6.400], [2.179, 2.179, -6.400]], "species": ["Be", "Be", "Be", "Be", "Tl", "Tl", "Os"], "fractional_positions": [[0.000, 0.500, 0.500], [0.168, 0.168, 0.000], [0.500, 0.000, 0.500], [0.832, 0.832, 0.000], [0.361, 0.361, 0.000], [0.639, 0.639, 0.000], [0.000, 0.000, 0.000]], "final_energy_ev_per_atom": -3.816, "ef_mev_per_atom": 593.2}

***

{"formula": "Be2TlOs", "functional": "PBE-GGA", "state": "relaxed", "cell": [[1.477, 0.853, 7.843], [-1.477, 0.853, 7.843], [0.000, -1.706, 7.843]], "species": ["Be", "Be", "Tl", "Os"], "fractional_positions": [[0.237, 0.237, 0.237], [0.763, 0.763, 0.763], [0.000, 0.000, 0.000], [0.500, 0.500, 0.500]], "final_energy_ev_per_atom": -4.714, "ef_mev_per_atom": 547.9}

***

{"formula": "BeTlOs2", "functional": "PBE-GGA", "state": "relaxed", "cell": [[4.250, -1.427, 0.000], [4.250, 1.427, 0.000], [-1.155, 0.000, 5.116]], "species": ["Be", "Tl", "Os", "Os"], "fractional_positions": [[0.000, 0.000, 0.000], [0.500, 0.500, 0.500], [0.272, 0.272, 0.807], [0.728, 0.728, 0.193]], "final_energy_ev_per_atom": -6.532, "ef_mev_per_atom": 606.0}

***

{"formula": "Be2TlOs", "functional": "PBE-GGA", "state": "relaxed", "cell": [[3.014, 0.000, 0.000], [0.000, 3.322, 0.000], [-0.005, 0.000, 6.006]], "species": ["Be", "Be", "Tl", "Os"], "fractional_positions": [[0.000, 0.000, 0.000], [0.000, 0.500, 0.217], [0.004, 0.000, 0.558], [0.500, 0.500, 0.920]], "final_energy_ev_per_atom": -4.891, "ef_mev_per_atom": 371.0}

***

{"formula": "BeTlOs2", "functional": "PBE-GGA", "state": "relaxed", "cell": [[0.000, 3.110, 3.110], [3.110, 0.000, 3.110], [3.110, 3.110, 0.000]], "species": ["Be", "Tl", "Os", "Os"], "fractional_positions": [[0.000, 0.000, 0.000], [0.500, 0.500, 0.500], [0.250, 0.250, 0.250], [0.750, 0.750, 0.750]], "final_energy_ev_per_atom": -6.166, "ef_mev_per_atom": 972.1}

***

{"formula": "BeTlOs2", "functional": "PBE-GGA", "state": "relaxed", "cell": [[-1.530, 2.213, 4.421], [1.530, -2.213, 4.421], [1.530, 2.213, -4.421]], "species": ["Be", "Tl", "Os", "Os"], "fractional_positions": [[0.000, 0.000, 0.000], [0.747, 0.247, 0.500], [0.204, 0.704, 0.500], [0.462, 0.462, 0.000]], "final_energy_ev_per_atom": -6.307, "ef_mev_per_atom": 830.9}

***

{"formula": "Be2TlOs", "functional": "PBE-GGA", "state": "relaxed", "cell": [[2.889, -2.909, 0.000], [2.889, 2.909, 0.000], [-0.010, 0.000, 3.144]], "species": ["Be", "Be", "Tl", "Os"], "fractional_positions": [[0.000, 0.500, 0.000], [0.500, 0.000, 0.000], [0.000, 0.000, 0.500], [0.500, 0.500, 0.500]], "final_energy_ev_per_atom": -4.755, "ef_mev_per_atom": 507.3}

***

{"formula": "BeTlOs2", "functional": "PBE-GGA", "state": "relaxed", "cell": [[4.305, 0.000, 0.000], [0.000, 4.305, 0.000], [0.000, 0.000, 3.261]], "species": ["Be", "Tl", "Os", "Os"], "fractional_positions": [[0.000, 0.000, 0.000], [0.500, 0.500, 0.000], [0.000, 0.500, 0.500], [0.500, 0.000, 0.500]], "final_energy_ev_per_atom": -6.130, "ef_mev_per_atom": 1008.0}